First-principles (PBE+U) data for a geometry-optimized Mo2PbO6 structure, as listed in Alexandria via LeMat-Bulk.

Output
The space-group type is C2/m (12). The calculation puts the total energy at -0.2507 hartree per atom. The calculation puts the calculated volume at 139 Å³/cell.

a b c (Å): 4.001 5.368 7.544
angles (deg): 69.52 74.62 68.12
Last column: magnetic moment on the atom in μB.
Fractional positions:
Mo 0.818 0.246 0.118  1.00
Mo 0.182 0.754 0.882  1.00
O 0.981 0.864 0.173  -0.03
O 0.663 0.323 0.352  0.01
O 0.337 0.677 0.648  0.01
O 0.019 0.136 0.827  -0.03
O 0.288 0.346 0.078  0.00
O 0.712 0.654 0.922  0.00
Pb 0.000 0.500 0.500  0.02